MnInClF2 | PBE+U | relaxed

Structure (extended XYZ):
```
5
Lattice="4.525 0.000 0.000 0.000 4.525 0.000 0.000 0.000 5.374" Properties=species:S:1:pos:R:3 pbc="T T T"
Mn 0.000 0.000 0.000
In 2.263 2.263 0.000
Cl 2.263 2.263 2.687
F 0.000 2.263 2.687
F 2.263 0.000 2.687
```

* D(E_F): 0.37 states/eV per atom
* spin magnetization: 1.016 μB/atom
* ΔE to the lowest computed polymorph: 1643 meV/atom
* symmetry: P4/mmm (123)
* electronic total energy: -3.351 eV per atom